# 1
## RhAuS2 (PBE)

Data for RhAuS2 after structural relaxation.

Output
Symmetry ... No. 12
Density ... 8.52 g/cm³
Uncorrected formation energy ... -0.41 eV per formula unit

POSCAR file:
```
RhAuS2
1.0
6.468 0.000 0.000
0.000 3.456 0.000
-2.229 0.000 6.347
Rh Au S
2 2 4
Cartesian
0.000 0.000 0.000 Rh
3.234 1.728 0.000 Rh
-1.114 0.000 3.174 Au
2.120 1.728 3.174 Au
-1.033 1.728 5.103 S
2.039 0.000 1.245 S
2.201 0.000 5.103 S
5.273 1.728 1.245 S
```

***

# 2
## TlZn2Mo (PBE)

Data for TlZn2Mo after structural relaxation.

Output
Symmetry ... No. 123
E_form ... 0.325 eV per atom
Density ... 9.53 g/cm³

POSCAR file:
```
TlZn2Mo
1.0
2.877 0.000 0.000
0.000 2.877 0.000
0.000 0.000 9.075
Tl Zn Mo
1 2 1
Cartesian
0.000 0.000 0.000 Tl
1.438 1.438 2.654 Zn
1.438 1.438 6.421 Zn
0.000 0.000 4.537 Mo
```

***

# 3
## SrIn2RhPb (PBE)

Data for SrIn2RhPb after structural relaxation.

Output
Symmetry ... No. 123
E_form ... -0.235 eV per atom
Density ... 7.20 g/cm³

POSCAR file:
```
SrIn2RhPb
1.0
5.194 0.000 0.000
0.000 5.194 0.000
0.000 0.000 5.365
Sr In Rh Pb
1 2 1 1
Cartesian
0.000 0.000 0.000 Sr
0.000 2.597 2.683 In
2.597 0.000 2.683 In
2.597 2.597 2.683 Rh
2.597 2.597 0.000 Pb
```

***

# 4
## Sr2Cd9Pb (PBE)

Data for Sr2Cd9Pb after structural relaxation.

Output
Symmetry ... No. 166
E_form ... -0.157 eV per atom
Density ... 7.17 g/cm³

POSCAR file:
```
Sr2Cd9Pb
1.0
3.092 1.785 9.746
-3.092 1.785 9.746
0.000 -3.571 9.746
Sr Cd Pb
2 9 1
Cartesian
0.000 0.000 4.089 Sr
0.000 0.000 25.148 Sr
-1.576 -0.910 12.195 Cd
0.000 0.000 9.792 Cd
0.000 -1.820 17.042 Cd
-1.576 0.910 17.042 Cd
0.000 0.000 14.619 Cd
1.576 -0.910 12.195 Cd
0.000 1.820 12.195 Cd
0.000 0.000 19.445 Cd
1.576 0.910 17.042 Cd
0.000 0.000 0.000 Pb
```

***

| no. | density of states at the Fermi level (states/eV/cell) |
| --- | --- |
| 1 | 1.6 |
| 2 | 3.0 |
| 3 | 3.7 |
| 4 | 4.3 |